[1]
# Ac6Rh2SeI2 (PBE, optimized geometry)
data_Ac6Rh2SeI2
_cell_length_a 7.734
_cell_length_b 7.734
_cell_length_c 8.485
_cell_angle_alpha 98.27
_cell_angle_beta 98.27
_cell_angle_gamma 118.25
_space_group_name_H-M_alt 'P 1'
_space_group_IT_number 1
_space_group_name_Hall 'P 1'
loop_
_atom_site_label
_atom_site_type_symbol
_atom_site_fract_x
_atom_site_fract_y
_atom_site_fract_z
Ac1 Ac 0.086 0.433 0.803
Ac2 Ac 0.194 0.194 0.201
Ac3 Ac 0.433 0.086 0.803
Ac4 Ac 0.567 0.914 0.197
Ac5 Ac 0.806 0.806 0.799
Ac6 Ac 0.914 0.567 0.197
Rh1 Rh 0.170 0.830 0.000
Rh2 Rh 0.830 0.170 0.000
Se1 Se 0.500 0.500 0.000
I1 I 0.340 0.660 0.500
I2 I 0.660 0.340 0.500
# - Space-group type: C2/m (12)
# - Formation energy from raw total energies: -0.97 eV/atom
# - Uncorrected energy: -5.15 eV/atom

=====

[2]
# LaTl2ZnAg (PBE, optimized geometry)
data_LaTl2ZnAg
_cell_length_a 5.404
_cell_length_b 5.404
_cell_length_c 4.925
_cell_angle_alpha 90.00
_cell_angle_beta 90.00
_cell_angle_gamma 90.00
_space_group_name_H-M_alt 'P 1'
_space_group_IT_number 1
_space_group_name_Hall 'P 1'
loop_
_atom_site_label
_atom_site_type_symbol
_atom_site_fract_x
_atom_site_fract_y
_atom_site_fract_z
La1 La 0.000 0.000 0.000
Tl1 Tl 0.000 0.500 0.500
Tl2 Tl 0.500 0.000 0.500
Zn1 Zn 0.500 0.500 0.000
Ag1 Ag 0.500 0.500 0.500
# - Space-group type: P4/mmm (123)
# - Uncorrected energy: -2.65 eV/atom
# - DFT formation energy: 0.5 eV/f.u.

=====

Number 1: theoretical density 7.353 g/cm³. Number 2: theoretical density 8.322 g/cm³.